(1)
The following is a PBE-GGA calculation of an optimized crystal structure of AlTeF2, from Alexandria.

* volume: 17.62 A^3/atom
* uncorrected energy: -4.47 eV per atom
* space group: Fd-3m
* energy above the lowest structure with this stoichiometry: 0 meV/atom
* formation energy (no corrections): -175 kJ/mol of atoms

a b c (Å): 5.842 5.842 5.842
angles (deg): 60.00 60.00 60.00
Element x y z (fractional)
Te 0.500 0.500 0.500
Te 0.750 0.750 0.750
F 0.125 0.125 0.625
F 0.125 0.625 0.125
F 0.625 0.125 0.125
F 0.125 0.125 0.125
Al 0.000 0.000 0.000
Al 0.250 0.250 0.250



(2)
The following is a PBE-GGA calculation of an optimized crystal structure of Y3Er2Te8, from Alexandria.

* volume: 36.10 A^3/atom
* uncorrected energy: -5.38 eV per atom
* space group: C2/m
* formation energy (no corrections): -121 kJ/mol of atoms

a b c (Å): 7.481 8.672 8.774
angles (deg): 119.62 106.02 90.00
Element x y z (fractional)
Er 0.331 0.250 0.500
Er 0.669 0.750 0.500
Te 0.083 0.877 0.755
Te 0.413 0.372 0.246
Te 0.894 0.617 0.234
Te 0.587 0.126 0.754
Te 0.917 0.123 0.245
Te 0.413 0.874 0.246
Te 0.587 0.628 0.754
Te 0.106 0.383 0.766
Y 0.000 0.257 0.000
Y 0.500 0.000 0.000
Y 0.000 0.743 0.000



(3)
The following is a PBE-GGA calculation of an optimized crystal structure of Tb4Mg2Hg, from Alexandria.

* energy of formation from the pure elements: -30 meV/atom
* volume: 29.60 A^3/atom
* uncorrected energy: -3.17 eV per atom
* space group: I4/mmm

a b c (Å): 6.456 6.456 6.456
angles (deg): 109.24 109.59 109.59
Element x y z (fractional)
Mg 0.500 0.000 0.500
Mg 0.500 0.500 0.000
Tb 0.500 0.500 0.500
Tb 0.000 0.000 0.500
Tb 0.500 0.000 0.000
Tb 0.000 0.500 0.000
Hg 0.000 0.000 0.000



(4)
The following is a PBE-GGA calculation of an optimized crystal structure of SrReHgMo2, from Alexandria.

* energy of formation from the pure elements: 3148 meV/atom
* volume: 22.27 A^3/atom
* uncorrected energy: -4.07 eV per atom
* space group: P4/mmm

a b c (Å): 4.799 4.835 4.799
angles (deg): 90.00 90.00 90.00
Element x y z (fractional)
Mo 0.500 0.000 0.000
Mo 0.000 0.000 0.500
Re 0.000 0.500 0.000
Hg 0.500 0.500 0.500
Sr 0.000 0.000 0.000



(5)
The following is a PBE-GGA calculation of an optimized crystal structure of InTeOF2, from Alexandria.

* volume: 19.21 A^3/atom
* uncorrected energy: -4.09 eV per atom
* space group: P4/mmm
* energy above the lowest structure with this stoichiometry: 0 meV/atom
* formation energy (no corrections): -113 kJ/mol of atoms

a b c (Å): 4.805 4.805 4.162
angles (deg): 90.00 90.00 90.00
Element x y z (fractional)
In 0.500 0.500 0.500
O 0.000 0.000 0.500
F 0.500 0.000 0.000
F 0.000 0.500 0.000
Te 0.000 0.000 0.000



(6)
The following is a PBE-GGA calculation of an optimized crystal structure of Ac2TmMg3, from Alexandria.

* energy of formation from the pure elements: -54 meV/atom
* volume: 31.90 A^3/atom
* uncorrected energy: -2.97 eV per atom
* space group: P4/mmm

a b c (Å): 3.983 3.983 12.062
angles (deg): 90.00 90.00 90.00
Element x y z (fractional)
Ac 0.500 0.500 0.178
Ac 0.500 0.500 0.822
Mg 0.000 0.000 0.000
Mg 0.000 0.000 0.360
Mg 0.000 0.000 0.640
Tm 0.500 0.500 0.500



(7)
The following is a PBE-GGA calculation of an optimized crystal structure of TiNi, from Alexandria.

* energy of formation from the pure elements: 55 meV/atom
* volume: 14.76 A^3/atom
* uncorrected energy: -6.78 eV per atom
* space group: I4/m

a b c (Å): 9.376 9.376 2.687
angles (deg): 90.00 90.00 90.00
Last column: magnetic moment on the atom in μB.
Element x y z (fractional)
Ni 0.165 0.923 0.500  0.07
Ni 0.923 0.835 0.500  0.07
Ni 0.665 0.423 0.000  0.07
Ni 0.577 0.665 0.000  0.07
Ni 0.835 0.077 0.500  0.07
Ni 0.077 0.165 0.500  0.07
Ni 0.423 0.335 0.000  0.07
Ni 0.335 0.577 0.000  0.07
Ti 0.374 0.844 0.000  0.21
Ti 0.344 0.126 0.500  0.21
Ti 0.844 0.626 0.000  0.21
Ti 0.874 0.344 0.500  0.21
Ti 0.156 0.374 0.000  0.21
Ti 0.126 0.656 0.500  0.21
Ti 0.626 0.156 0.000  0.21
Ti 0.656 0.874 0.500  0.21



(8)
The following is a PBE-GGA calculation of an optimized crystal structure of PrErGaAg, from Alexandria.

* energy of formation from the pure elements: -438 meV/atom
* volume: 24.57 A^3/atom
* uncorrected energy: -4.24 eV per atom
* space group: P4mm
* energy above the lowest structure with this stoichiometry: 0 meV/atom

a b c (Å): 3.601 3.601 7.579
angles (deg): 90.00 90.00 90.00
Element x y z (fractional)
Pr 0.000 0.000 0.846
Ag 0.500 0.500 0.137
Ga 0.500 0.500 0.587
Er 0.000 0.000 0.358



(9)
The following is a PBE-GGA calculation of an optimized crystal structure of HoHf2Sc, from Alexandria.

* energy of formation from the pure elements: 248 meV/atom
* volume: 24.54 A^3/atom
* uncorrected energy: -7.46 eV per atom
* space group: P4/mmm
* energy above the lowest structure with this stoichiometry: 160 meV/atom

a b c (Å): 3.708 3.708 7.141
angles (deg): 90.00 90.00 90.00
Element x y z (fractional)
Hf 0.000 0.000 0.785
Hf 0.000 0.000 0.215
Ho 0.500 0.500 0.500
Sc 0.500 0.500 0.000